No. 1
A plane-wave DFT calculation with PBE was carried out for CsNaGd after structural relaxation.

a b c (Å): 8.760 8.760 8.760
angles (deg): 90.00 90.00 90.00
Space group F-43m (No. 216)
One atom of each set of equivalent atoms:
1 Cs 0.000 0.000 0.000 [4 per cell]
2 Na 0.250 0.250 0.250 [4 per cell]
3 Gd 0.000 0.000 0.500 [4 per cell]

***

No. 2
A plane-wave DFT calculation with PBE was carried out for InCuMoSe3 after structural relaxation.

a b c (Å): 3.587 14.316 9.717
angles (deg): 90.00 90.00 90.00
Space group Cmcm (No. 63)
One atom of each set of equivalent atoms:
1 In 0.000 0.247 0.250 [4 per cell]
2 Cu 0.000 0.461 0.750 [4 per cell]
3 Mo 0.000 0.000 0.000 [4 per cell]
4 Se 0.000 0.074 0.750 [4 per cell]
5 Se 0.000 0.368 0.544 [8 per cell]

***

No. 3
A plane-wave DFT calculation with PBE was carried out for BaPuPd after structural relaxation.

a b c (Å): 7.154 7.154 7.154
angles (deg): 90.00 90.00 90.00
Space group F-43m (No. 216)
One atom of each set of equivalent atoms:
1 Ba 0.000 0.000 0.000 [4 per cell]
2 Pu 0.250 0.250 0.250 [4 per cell]
3 Pd 0.250 0.250 0.750 [4 per cell]

offset from the most stable computed form: 565 meV per atom

***

No. 4
A plane-wave DFT calculation with PBE was carried out for HoNiSn after structural relaxation.

a b c (Å): 8.1404 8.1404 3.3370
angles (deg): 90.00 90.00 120.00
Space group P-62m (No. 189)
One atom of each set of equivalent atoms:
1 Ho 0.0000 0.2951 0.0000 [3 per cell]
2 Ni 0.0000 0.6455 0.5000 [3 per cell]
3 Sn 0.0000 0.0000 0.5000 [1 per cell]
4 Sn 0.3333 0.6667 0.0000 [2 per cell]

***

Table of final energy (eV per atom), in record order: -1.40 -4.85 -6.57 -4.82
Table of calculated volume (Å³/atom), in record order: 56.03 20.79 30.51 21.28